(1)
Below is Tb2SiI3 after structural relaxation, with properties calculated at the PBE-GGA level.

Cell lengths 10.595, 10.595, 14.342 Å; angles 128.86, 128.86, 22.71 degrees
Sites, in units of the cell vectors:
Tb: 0.103 0.103 0.237
Tb: 0.374 0.374 0.051
Tb: 0.626 0.626 0.949
Tb: 0.897 0.897 0.763
Si: 0.056 0.056 0.998
Si: 0.944 0.944 0.002
I: 0.178 0.178 0.840
I: 0.257 0.257 0.648
I: 0.462 0.462 0.675
I: 0.538 0.538 0.325
I: 0.743 0.743 0.352
I: 0.822 0.822 0.160

Values from the calculation:
Calculated density: 5.1 g cm⁻³
E: -0.1552 hartree per atom



(2)
Below is Y5Bi4S after structural relaxation, with properties calculated at the PBE-GGA level.

Cell lengths 7.580, 7.580, 7.580 Å; angles 99.77, 99.77, 131.36 degrees
Sites, in units of the cell vectors:
Y: 0.000 0.000 0.000
Y: 0.206 0.387 0.621
Y: 0.387 0.766 0.181
Y: 0.585 0.206 0.819
Y: 0.766 0.585 0.379
Bi: 0.078 0.682 0.788
Bi: 0.290 0.078 0.396
Bi: 0.682 0.894 0.604
Bi: 0.894 0.290 0.212
S: 0.480 0.480 0.000

Values from the calculation:
Calculated density: 7.3 g cm⁻³
E: -0.2302 hartree per atom



(3)
Below is Ba2TiBeW after structural relaxation, with properties calculated at the PBE-GGA level.

Cell lengths 6.234, 6.234, 4.590 Å; angles 90.00, 90.00, 90.00 degrees
Sites, in units of the cell vectors:
Ba: 0.000 0.500 0.000
Ba: 0.500 0.000 0.000
Ti: 0.000 0.000 0.000
Be: 0.500 0.500 0.500
W: 0.000 0.000 0.500

Values from the calculation:
Calculated density: 4.8 g cm⁻³
Energy of formation: 1474 meV per atom
E: -0.1547 hartree per atom



(4)
Below is La4Sm5Ho2 after structural relaxation, with properties calculated at the PBE-GGA level.

Cell lengths 12.612, 12.612, 12.612 Å; angles 163.88, 135.79, 47.35 degrees
Sites, in units of the cell vectors:
La: 0.093 0.093 0.000
La: 0.210 0.500 0.710
La: 0.790 0.500 0.290
La: 0.907 0.907 0.000
Sm: 0.146 0.348 0.798
Sm: 0.449 0.652 0.798
Sm: 0.500 0.000 0.500
Sm: 0.551 0.348 0.202
Sm: 0.854 0.652 0.202
Ho: 0.228 0.228 0.000
Ho: 0.772 0.772 0.000

Values from the calculation:
Energy above the lowest structure with this stoichiometry: 176 meV per atom
Calculated density: 7.0 g cm⁻³
Energy of formation: 256 meV per atom
E: -0.1659 hartree per atom



(5)
Below is BaRuCl2 after structural relaxation, with properties calculated at the PBE-GGA level.

Cell lengths 4.550, 4.550, 15.970 Å; angles 90.00, 90.00, 120.00 degrees
Sites, in units of the cell vectors:
Ba: 0.000 0.000 0.000
Ba: 0.333 0.667 0.667
Ba: 0.667 0.333 0.333
Ru: 0.000 0.000 0.500
Ru: 0.333 0.667 0.167
Ru: 0.667 0.333 0.833
Cl: 0.000 0.000 0.227
Cl: 0.000 0.000 0.773
Cl: 0.333 0.667 0.440
Cl: 0.333 0.667 0.894
Cl: 0.667 0.333 0.106
Cl: 0.667 0.333 0.560

Values from the calculation:
Energy above the lowest structure with this stoichiometry: 123 meV per atom
Calculated density: 5.4 g cm⁻³
E: -0.1607 hartree per atom



(6)
Below is TbPrHo2Th after structural relaxation, with properties calculated at the PBE-GGA level.

Cell lengths 3.541, 5.659, 8.703 Å; angles 90.00, 90.00, 90.00 degrees
Sites, in units of the cell vectors:
Tb: 0.000 0.000 0.000
Pr: 0.500 0.000 0.500
Ho: 0.500 0.500 0.179
Ho: 0.500 0.500 0.821
Th: 0.000 0.500 0.500

Values from the calculation:
Calculated density: 8.2 g cm⁻³
Energy of formation: 311 meV per atom
E: -0.1796 hartree per atom



(7)
Below is SrSi after structural relaxation, with properties calculated at the PBE-GGA level.

Cell lengths 4.818, 11.361, 4.055 Å; angles 90.00, 90.00, 90.00 degrees
Sites, in units of the cell vectors:
Sr: 0.000 0.139 0.250
Sr: 0.000 0.861 0.750
Sr: 0.500 0.361 0.750
Sr: 0.500 0.639 0.250
Si: 0.000 0.436 0.250
Si: 0.000 0.564 0.750
Si: 0.500 0.064 0.750
Si: 0.500 0.936 0.250

Values from the calculation:
Calculated density: 3.5 g cm⁻³
E: -0.1479 hartree per atom



(8)
Below is BeSi2Ru after structural relaxation, with properties calculated at the PBE-GGA level.

Cell lengths 3.658, 3.658, 7.151 Å; angles 90.00, 90.00, 90.00 degrees
Sites, in units of the cell vectors:
Be: 0.000 0.000 0.000
Be: 0.500 0.500 0.500
Si: 0.000 0.500 0.250
Si: 0.000 0.500 0.750
Si: 0.500 0.000 0.250
Si: 0.500 0.000 0.750
Ru: 0.000 0.000 0.500
Ru: 0.500 0.500 0.000

Values from the calculation:
Calculated density: 5.8 g cm⁻³
E: -0.2237 hartree per atom



(9)
Below is ReWBr after structural relaxation, with properties calculated at the PBE-GGA level.

Cell lengths 2.962, 4.191, 8.006 Å; angles 90.00, 90.00, 90.00 degrees
Sites, in units of the cell vectors:
Re: 0.000 0.000 0.000
Re: 0.500 0.500 0.500
W: 0.000 0.000 0.660
W: 0.500 0.500 0.160
Br: 0.000 0.000 0.331
Br: 0.500 0.500 0.831

Values from the calculation:
Energy above the lowest structure with this stoichiometry: 634 meV per atom
Calculated density: 15.0 g cm⁻³
E: -0.2865 hartree per atom



(10)
Below is Tl2CoSe2 after structural relaxation, with properties calculated at the PBE-GGA level.

Cell lengths 6.308, 6.308, 6.035 Å; angles 90.00, 90.00, 90.00 degrees
Sites, in units of the cell vectors:
Tl: 0.191 0.309 0.000
Tl: 0.309 0.809 0.000
Tl: 0.691 0.191 0.000
Tl: 0.809 0.691 0.000
Co: 0.000 0.000 0.500
Co: 0.500 0.500 0.500
Se: 0.155 0.655 0.500
Se: 0.345 0.155 0.500
Se: 0.655 0.845 0.500
Se: 0.845 0.345 0.500

Values from the calculation:
Calculated density: 8.7 g cm⁻³
E: -0.1391 hartree per atom



(11)
Below is Bi2RhAu2 after structural relaxation, with properties calculated at the PBE-GGA level.

Cell lengths 3.705, 3.705, 17.196 Å; angles 90.00, 90.00, 90.00 degrees
Sites, in units of the cell vectors:
Bi: 0.000 0.000 0.092
Bi: 0.000 0.000 0.908
Bi: 0.500 0.500 0.408
Bi: 0.500 0.500 0.592
Rh: 0.000 0.000 0.500
Rh: 0.500 0.500 0.000
Au: 0.000 0.500 0.250
Au: 0.000 0.500 0.750
Au: 0.500 0.000 0.250
Au: 0.500 0.000 0.750

Values from the calculation:
Energy above the lowest structure with this stoichiometry: 0 meV per atom
Calculated density: 12.9 g cm⁻³
Energy of formation: 136 meV per atom
E: -0.1543 hartree per atom



(12)
Below is Ba2HfZn2O6 after structural relaxation, with properties calculated at the PBE-GGA level.

Cell lengths 6.552, 6.552, 6.552 Å; angles 55.00, 55.00, 55.00 degrees
Sites, in units of the cell vectors:
Ba: 0.217 0.217 0.217
Ba: 0.783 0.783 0.783
Hf: 0.000 0.000 0.000
Zn: 0.417 0.417 0.417
Zn: 0.583 0.583 0.583
O: 0.228 0.766 0.766
O: 0.234 0.234 0.772
O: 0.234 0.772 0.234
O: 0.766 0.228 0.766
O: 0.766 0.766 0.228
O: 0.772 0.234 0.234

Values from the calculation:
Calculated density: 6.4 g cm⁻³
E: -0.2425 hartree per atom